# Li2PrPd6 (PBE-GGA, relaxed)
# DFT total energy	-4.753	eV/atom
# E_form	-0.33	eV/atom
# DOS(E_F)	3.74	states/eV per cell
data_Li2PrPd6
_symmetry_space_group_name_H-M 'P -3 1 m'
_symmetry_Int_Tables_number 162
_symmetry_space_group_name_Hall '-P 3 2'
_cell_length_a 4.7120
_cell_length_b 4.7120
_cell_length_c 9.0891
_cell_angle_alpha 90.00
_cell_angle_beta 90.00
_cell_angle_gamma 120.00
loop_
_atom_site_label
_atom_site_type_symbol
_atom_site_fract_x
_atom_site_fract_y
_atom_site_fract_z
Li1 Li 0.3333 0.6667 0.0000
Pr1 Pr 0.0000 0.0000 0.5000
Pd1 Pd 0.0000 0.3378 0.2366